Nd3TmTl3 | PBE | optimized geometry

Properties
**Calculated formation energy**: -207 meV per atom
**Polymorph energy (0 for the lowest one)**: 57 meV per atom

Cell: 6.868 6.868 9.686 Å, 91.08 91.08 104.26°
Positions (direct):
Nd  0.180  0.820  0.000
Nd  0.242  0.758  0.500
Nd  0.407  0.407  0.184
Nd  0.593  0.593  0.816
Nd  0.758  0.242  0.500
Nd  0.820  0.180  0.000
Tm  0.277  0.277  0.544
Tm  0.723  0.723  0.456
Tl  0.032  0.032  0.271
Tl  0.055  0.478  0.763
Tl  0.478  0.055  0.763
Tl  0.522  0.945  0.237
Tl  0.945  0.522  0.237
Tl  0.968  0.968  0.729